Density functional theory data (PBE) for a geometry-optimized Sr3TbPm2Te6 structure.

Calculated values
E_form (uncorrected), eV/atom: -1.533
Total magnetization, Bohr magnetons per cell: 0.00

Cell and atoms, written as POSCAR:
```
Sr3TbPm2Te6
1.0
-7.596 1.943 0.164
2.102 -7.543 -0.435
1.887 1.445 7.685
Tb Te Sr Pm
1 6 3 2
direct
0.000 0.000 0.000
0.751 0.751 0.238
0.078 0.407 0.236
0.593 0.922 0.764
0.922 0.593 0.764
0.407 0.078 0.236
0.249 0.249 0.762
0.500 0.500 0.500
0.169 0.831 0.500
0.831 0.169 0.500
0.334 0.666 0.000
0.666 0.334 0.000
```


Density functional theory data (PBE) for a geometry-optimized LaTm7In4 structure.

Calculated values
DFT formation energy, meV per atom: -76
Total magnetization, Bohr magnetons per cell: 0.00

Cell and atoms, written as POSCAR:
```
LaTm7In4
1.0
-3.866 -0.668 4.013
-4.470 -7.898 -1.698
2.477 -4.764 5.517
Tm In La
7 4 1
direct
0.500 0.000 0.000
0.936 0.397 0.730
0.787 0.875 0.552
0.287 0.652 0.775
0.713 0.348 0.225
0.064 0.603 0.270
0.213 0.125 0.448
0.318 0.332 0.031
0.564 0.234 0.638
0.436 0.766 0.362
0.682 0.668 0.969
0.000 0.000 0.000
```


Density functional theory data (PBE) for a geometry-optimized Zr2TaCuSn structure.

Calculated values
DFT formation energy, meV per atom: 420
Total magnetization, Bohr magnetons per cell: 0.00

Cell and atoms, written as POSCAR:
```
Zr2TaCuSn
1.0
-2.097 2.685 3.501
-4.223 -1.689 -1.234
0.552 -3.686 3.158
Zr Sn Cu Ta
2 1 1 1
direct
0.500 0.000 0.000
0.000 0.000 0.500
0.500 0.500 0.500
0.000 0.000 0.000
0.000 0.500 0.000
```